No. 1
MgCrTc2, optimized geometry, DFT GGA-PBE; V = 57.4 Å³ per cell; density = 7.873 g cm⁻³; energy = -7.79 eV/atom; crystal system = orthorhombic
1.0
-1.5194 2.1789 4.3367
1.5194 -2.1789 4.3367
1.5194 2.1789 -4.3367
Mg Cr Tc
1 1 2
Direct
0.0000 0.0000 0.0000 Mg
0.7366 0.2366 0.5000 Cr
0.2677 0.7677 0.5000 Tc
0.5143 0.5143 0.0000 Tc

***

No. 2
Mg2CrTc, optimized geometry, DFT GGA-PBE; V = 61.9 Å³ per cell; density = 5.326 g cm⁻³; energy above the lowest structure with this stoichiometry = 294 meV/atom; energy = -5.40 eV/atom; crystal system = monoclinic
1.0
2.6439 -4.5539 0.0000
2.6439 4.5539 0.0000
-0.6248 0.0000 2.5714
Mg Cr Tc
2 1 1
Direct
0.0000 0.5000 0.0000 Mg
0.5000 0.0000 0.0000 Mg
0.0000 0.0000 0.5000 Cr
0.5000 0.5000 0.5000 Tc

***

No. 3
Mg2CrTc, optimized geometry, DFT GGA-PBE; V = 63.4 Å³ per cell; density = 5.198 g cm⁻³; energy above the lowest structure with this stoichiometry = 249 meV/atom; energy = -5.44 eV/atom; crystal system = orthorhombic
1.0
-1.6221 2.1362 4.5776
1.6221 -2.1362 4.5776
1.6221 2.1362 -4.5776
Mg Cr Tc
2 1 1
Direct
0.2494 0.2494 0.0000 Mg
0.7506 0.7506 0.0000 Mg
0.0000 0.5000 0.5000 Cr
0.5000 0.0000 0.5000 Tc

***

No. 4
MgCrTc2, optimized geometry, DFT GGA-PBE; V = 56.7 Å³ per cell; density = 7.978 g cm⁻³; energy = -7.64 eV/atom; crystal system = tetragonal
1.0
4.3487 0.0000 0.0000
0.0000 4.3487 0.0000
0.0000 0.0000 2.9970
Mg Cr Tc
1 1 2
Direct
0.0000 0.0000 0.0000 Mg
0.5000 0.5000 0.0000 Cr
0.0000 0.5000 0.5000 Tc
0.5000 0.0000 0.5000 Tc